Entry 1:
A relaxed structure of Cs2Tl6CdPd, computed with PBE.

Computed properties:
formation energy	-0.0443	eV/atom

a = 7.6587 Å, b = 7.6587 Å, c = 6.9761 Å
α = 90.00°, β = 90.00°, γ = 120.00°
With the nearest neighbours (Å) after each atom.
Space group P-3m1 (No. 164)
Symmetry-distinct sites (fractional):
Cs 0.3333 0.6667 0.3241 (multiplicity 2)  12 Tl 3.90-4.11
Tl 0.1852 0.3705 0.8065 (multiplicity 6)  1 Pd 2.80
Cd 0.0000 0.0000 0.5000 (multiplicity 1)  6 Tl 3.26, 2 Pd 3.49
Pd 0.0000 0.0000 0.0000 (multiplicity 1)  6 Tl 2.80

=====

Entry 2:
A relaxed structure of CsTlCd2Pd, computed with PBE.

Computed properties:
formation energy	-0.1586	eV/atom

a = 5.4504 Å, b = 5.4504 Å, c = 5.4048 Å
α = 90.00°, β = 90.00°, γ = 90.00°
With the nearest neighbours (Å) after each atom.
Space group P4/mmm (No. 123)
Symmetry-distinct sites (fractional):
Cs 0.0000 0.0000 0.0000 (multiplicity 1)  8 Cd 3.84, 4 Tl 3.85
Tl 0.5000 0.5000 0.0000 (multiplicity 1)  2 Pd 2.70
Cd 0.0000 0.5000 0.5000 (multiplicity 2)  2 Pd 2.73
Pd 0.5000 0.5000 0.5000 (multiplicity 1)  2 Tl 2.70, 4 Cd 2.73

=====

Entry 3:
A relaxed structure of CsTlCdPd2, computed with PBE.

Computed properties:
formation energy	0.5050	eV/atom

a = 5.2388 Å, b = 5.2388 Å, c = 6.2534 Å
α = 90.00°, β = 90.00°, γ = 90.00°
With the nearest neighbours (Å) after each atom.
Space group P4/mmm (No. 123)
Symmetry-distinct sites (fractional):
Cs 0.0000 0.0000 0.0000 (multiplicity 1)  2 Cd 3.13
Tl 0.5000 0.5000 0.0000 (multiplicity 1)  4 Cs 3.70, 8 Pd 4.08
Cd 0.0000 0.0000 0.5000 (multiplicity 1)  4 Pd 2.62
Pd 0.0000 0.5000 0.5000 (multiplicity 2)  2 Cd 2.62

=====

Question: What is the formation energy in the second record?
Answer: -0.1586 eV/atom